(1)
Density functional theory data (PBE) for crystalline Sr2InGa at its relaxed geometry.

Properties
Magnetic moment in μB per cell: 0.0
Total DFT energy (no corrections) in eV per atom: -2.329

Cell: 8.864 8.864 7.288 Å, 52.54 52.54 90.00°
Element x y z (fractional)
Sr 0.606 0.125 0.250
Sr 0.144 0.625 0.250
Sr 0.375 0.394 0.750
Sr 0.875 0.856 0.750
Ga 0.500 0.500 0.000
Ga 0.250 0.750 0.500
In 0.000 0.000 0.000
In 0.750 0.250 0.500

(2)
Density functional theory data (PBE) for crystalline SrInGa2 at its relaxed geometry.

Properties
Magnetic moment in μB per cell: 0.0
Total DFT energy (no corrections) in eV per atom: -3.017

Cell: 4.511 7.656 11.879 Å, 90.00 90.00 90.00°
Element x y z (fractional)
Sr 0.750 0.358 0.362
Sr 0.250 0.642 0.638
Sr 0.750 0.858 0.138
Sr 0.250 0.142 0.862
In 0.750 0.341 0.058
In 0.250 0.659 0.942
In 0.750 0.841 0.442
In 0.250 0.159 0.558
Ga 0.250 0.026 0.338
Ga 0.750 0.974 0.662
Ga 0.250 0.526 0.162
Ga 0.750 0.474 0.838
Ga 0.250 0.177 0.147
Ga 0.750 0.823 0.853
Ga 0.250 0.677 0.353
Ga 0.750 0.323 0.647

(3)
Density functional theory data (PBE) for crystalline SrIn3Ga at its relaxed geometry.

Properties
Magnetic moment in μB per cell: 0.0
Total DFT energy (no corrections) in eV per atom: -1.817

Cell: 6.181 6.181 6.181 Å, 90.00 90.00 90.00°
Element x y z (fractional)
Sr 0.000 0.000 0.000
Ga 0.500 0.500 0.500
In 0.000 0.500 0.000
In 0.000 0.000 0.500
In 0.500 0.000 0.000

(4)
Density functional theory data (PBE) for crystalline Sr6InGa at its relaxed geometry.

Properties
Magnetic moment in μB per cell: 0.0
Total DFT energy (no corrections) in eV per atom: -2.179

Cell: 11.104 11.104 11.104 Å, 149.82 149.82 43.21°
Element x y z (fractional)
Sr 0.251 0.251 0.000
Sr 0.907 0.407 0.500
Sr 0.407 0.907 0.500
Sr 0.093 0.593 0.500
Sr 0.749 0.749 0.000
Sr 0.593 0.093 0.500
In 0.500 0.500 0.000
Ga 0.000 0.000 0.000

(5)
Density functional theory data (PBE) for crystalline Sr6In5Ga at its relaxed geometry.

Properties
Magnetic moment in μB per cell: 0.0
Total DFT energy (no corrections) in eV per atom: -2.649

Cell: 5.704 8.132 9.044 Å, 90.00 71.62 90.00°
Element x y z (fractional)
Sr 0.836 0.753 0.327
Sr 0.836 0.247 0.327
Sr 0.500 0.243 0.000
Sr 0.500 0.757 0.000
Sr 0.164 0.753 0.673
Sr 0.164 0.247 0.673
Ga 0.000 0.000 0.000
In 0.668 0.500 0.665
In 0.330 0.000 0.339
In 0.000 0.500 0.000
In 0.670 0.000 0.661
In 0.332 0.500 0.335

(6)
Density functional theory data (PBE) for crystalline SrInGa3 at its relaxed geometry.

Properties
Magnetic moment in μB per cell: 0.0
Total DFT energy (no corrections) in eV per atom: -3.033

Cell: 4.376 4.649 12.265 Å, 100.92 90.00 90.00°
Element x y z (fractional)
Sr 0.250 0.079 0.157
Sr 0.750 0.921 0.843
In 0.250 0.799 0.598
In 0.750 0.201 0.402
Ga 0.250 0.371 0.741
Ga 0.750 0.629 0.259
Ga 0.250 0.475 0.951
Ga 0.750 0.525 0.049
Ga 0.750 0.313 0.626
Ga 0.250 0.687 0.374

(7)
Density functional theory data (PBE) for crystalline Sr3In7Ga2 at its relaxed geometry.

Properties
Magnetic moment in μB per cell: 0.0
Total DFT energy (no corrections) in eV per atom: -2.845

Cell: 4.659 4.848 15.375 Å, 99.09 90.00 90.00°
Element x y z (fractional)
Sr 0.500 0.500 0.000
Sr 0.000 0.181 0.358
Sr 0.000 0.819 0.642
In 0.500 0.726 0.452
In 0.500 0.274 0.548
In 0.000 0.586 0.166
In 0.000 0.000 0.000
In 0.000 0.414 0.834
In 0.500 0.913 0.834
In 0.500 0.087 0.166
Ga 0.500 0.642 0.273
Ga 0.500 0.358 0.727

(8)
Density functional theory data (PBE) for crystalline Sr6In2Ga at its relaxed geometry.

Properties
Magnetic moment in μB per cell: 0.0
Total DFT energy (no corrections) in eV per atom: -2.358

Cell: 5.758 7.739 9.121 Å, 83.26 71.60 68.16°
Element x y z (fractional)
Sr 0.973 0.229 0.825
Sr 0.298 0.229 0.175
Sr 0.702 0.771 0.825
Sr 0.369 0.761 0.500
Sr 0.631 0.239 0.500
Sr 0.027 0.771 0.175
In 0.330 0.500 0.841
In 0.670 0.500 0.159
Ga 0.000 0.500 0.500

(9)
Density functional theory data (PBE) for crystalline Sr3In2Ga2 at its relaxed geometry.

Properties
Magnetic moment in μB per cell: 0.0
Total DFT energy (no corrections) in eV per atom: -2.818

Cell: 4.349 6.612 9.010 Å, 113.62 90.00 109.20°
Element x y z (fractional)
Sr 0.305 0.610 0.346
Sr 0.695 0.390 0.654
Sr 0.500 0.000 0.000
In 0.976 0.952 0.664
In 0.024 0.048 0.336
Ga 0.802 0.604 0.063
Ga 0.198 0.396 0.937

(10)
Density functional theory data (PBE) for crystalline SrIn12Ga4 at its relaxed geometry.

Properties
Magnetic moment in μB per cell: 0.0
Total DFT energy (no corrections) in eV per atom: -2.726

Cell: 8.501 8.501 8.501 Å, 109.47 109.47 109.47°
Element x y z (fractional)
Sr 0.000 0.000 0.000
In 0.845 0.349 0.193
In 0.349 0.504 0.155
In 0.807 0.155 0.651
In 0.349 0.193 0.845
In 0.193 0.845 0.349
In 0.651 0.496 0.845
In 0.504 0.155 0.349
In 0.496 0.845 0.651
In 0.651 0.807 0.155
In 0.845 0.651 0.496
In 0.155 0.349 0.504
In 0.155 0.651 0.807
Ga 0.000 0.500 0.000
Ga 0.500 0.000 0.000
Ga 0.500 0.500 0.500
Ga 0.000 0.000 0.500

(11)
Density functional theory data (PBE) for crystalline SrIn4Ga3 at its relaxed geometry.

Properties
Magnetic moment in μB per cell: 0.0
Total DFT energy (no corrections) in eV per atom: -2.887

Cell: 4.963 4.963 8.450 Å, 90.00 90.00 90.00°
Element x y z (fractional)
Sr 0.000 0.000 0.500
In 0.500 0.000 0.186
In 0.000 0.500 0.186
In 0.500 0.000 0.814
In 0.000 0.500 0.814
Ga 0.000 0.000 0.000
Ga 0.500 0.500 0.351
Ga 0.500 0.500 0.649

(12)
Density functional theory data (PBE) for crystalline Sr8In2Ga at its relaxed geometry.

Properties
Magnetic moment in μB per cell: 0.0
Total DFT energy (no corrections) in eV per atom: -2.257

Cell: 5.840 8.039 10.522 Å, 108.94 106.11 90.00°
Element x y z (fractional)
Sr 0.404 0.563 0.808
Sr 0.662 0.956 0.325
Sr 0.796 0.699 0.593
Sr 0.974 0.208 0.948
Sr 0.204 0.301 0.407
Sr 0.338 0.044 0.675
Sr 0.596 0.437 0.192
Sr 0.026 0.792 0.052
In 0.820 0.302 0.640
In 0.180 0.698 0.360
Ga 0.500 0.000 0.000

(13)
Density functional theory data (PBE) for crystalline SrIn12Ga6 at its relaxed geometry.

Properties
Magnetic moment in μB per cell: 0.0
Total DFT energy (no corrections) in eV per atom: -2.774

Cell: 8.519 8.519 8.519 Å, 107.81 107.81 107.81°
Element x y z (fractional)
Sr 0.000 0.000 0.000
In 0.889 0.111 0.500
In 0.830 0.590 0.590
In 0.590 0.590 0.830
In 0.410 0.170 0.410
In 0.410 0.410 0.170
In 0.170 0.410 0.410
In 0.111 0.500 0.889
In 0.500 0.889 0.111
In 0.111 0.889 0.500
In 0.889 0.500 0.111
In 0.500 0.111 0.889
In 0.590 0.830 0.590
Ga 0.756 0.283 0.283
Ga 0.283 0.283 0.756
Ga 0.283 0.756 0.283
Ga 0.717 0.717 0.244
Ga 0.244 0.717 0.717
Ga 0.717 0.244 0.717

(14)
Density functional theory data (PBE) for crystalline Sr3In2Ga at its relaxed geometry.

Properties
Magnetic moment in μB per cell: 0.0
Total DFT energy (no corrections) in eV per atom: -2.654

Cell: 4.644 13.474 13.558 Å, 90.00 90.00 90.00°
Element x y z (fractional)
Sr 0.250 0.375 0.052
Sr 0.750 0.625 0.948
Sr 0.750 0.875 0.448
Sr 0.250 0.125 0.552
Sr 0.250 0.702 0.214
Sr 0.750 0.298 0.786
Sr 0.750 0.202 0.286
Sr 0.250 0.798 0.714
Sr 0.250 0.440 0.382
Sr 0.750 0.560 0.618
Sr 0.750 0.940 0.118
Sr 0.250 0.060 0.882
In 0.250 0.686 0.473
In 0.750 0.314 0.527
In 0.750 0.186 0.027
In 0.250 0.814 0.973
In 0.250 0.005 0.305
In 0.750 0.995 0.695
In 0.750 0.505 0.195
In 0.250 0.495 0.805
Ga 0.250 0.126 0.129
Ga 0.750 0.874 0.871
Ga 0.750 0.626 0.371
Ga 0.250 0.374 0.629

(15)
Density functional theory data (PBE) for crystalline SrInGa3 at its relaxed geometry.

Properties
Magnetic moment in μB per cell: 0.0
Total DFT energy (no corrections) in eV per atom: -1.924

Cell: 5.881 5.881 5.881 Å, 90.00 90.00 90.00°
Element x y z (fractional)
Sr 0.000 0.000 0.000
Ga 0.000 0.500 0.000
Ga 0.000 0.000 0.500
Ga 0.500 0.000 0.000
In 0.500 0.500 0.500

(16)
Density functional theory data (PBE) for crystalline Sr3InGa4 at its relaxed geometry.

Properties
Magnetic moment in μB per cell: 0.0
Total DFT energy (no corrections) in eV per atom: -2.754

Cell: 5.163 5.452 9.716 Å, 106.29 105.41 90.00°
Element x y z (fractional)
Sr 0.202 0.202 0.404
Sr 0.798 0.798 0.596
Sr 0.000 0.500 0.000
In 0.500 0.000 0.000
Ga 0.372 0.603 0.744
Ga 0.628 0.397 0.256
Ga 0.628 0.860 0.256
Ga 0.372 0.140 0.744

(17)
Density functional theory data (PBE) for crystalline Sr4InGa at its relaxed geometry.

Properties
Magnetic moment in μB per cell: 0.0
Total DFT energy (no corrections) in eV per atom: -2.349

Cell: 6.489 9.090 9.090 Å, 112.85 100.51 100.51°
Element x y z (fractional)
Sr 0.857 0.626 0.773
Sr 0.058 0.941 0.291
Sr 0.643 0.227 0.374
Sr 0.442 0.709 0.059
Sr 0.558 0.291 0.941
Sr 0.357 0.773 0.626
Sr 0.942 0.059 0.709
Sr 0.143 0.374 0.227
In 0.750 0.631 0.369
In 0.250 0.369 0.631
Ga 0.250 0.998 0.002
Ga 0.750 0.002 0.998

(18)
Density functional theory data (PBE) for crystalline Sr2In12Ga at its relaxed geometry.

Properties
Magnetic moment in μB per cell: 0.0
Total DFT energy (no corrections) in eV per atom: -2.778

Cell: 6.936 6.936 18.053 Å, 90.00 90.00 90.00°
Element x y z (fractional)
Sr 0.500 0.000 0.255
Sr 0.000 0.500 0.255
Sr 0.000 0.500 0.745
Sr 0.500 0.000 0.745
In 0.500 0.500 0.813
In 0.000 0.000 0.813
In 0.750 0.750 0.910
In 0.250 0.750 0.910
In 0.000 0.000 0.346
In 0.250 0.750 0.090
In 0.833 0.333 0.568
In 0.500 0.500 0.346
In 0.250 0.250 0.910
In 0.750 0.750 0.090
In 0.333 0.167 0.568
In 0.667 0.167 0.432
In 0.000 0.000 0.654
In 0.167 0.333 0.432
In 0.250 0.250 0.090
In 0.833 0.667 0.432
In 0.667 0.833 0.568
In 0.000 0.000 0.187
In 0.167 0.667 0.568
In 0.500 0.500 0.654
In 0.750 0.250 0.910
In 0.500 0.500 0.187
In 0.333 0.833 0.432
In 0.750 0.250 0.090
Ga 0.500 0.000 0.000
Ga 0.000 0.500 0.000

(19)
Density functional theory data (PBE) for crystalline SrInGa2 at its relaxed geometry.

Properties
Magnetic moment in μB per cell: 0.0
Total DFT energy (no corrections) in eV per atom: -2.922

Cell: 4.633 4.633 6.301 Å, 68.43 68.43 60.00°
Element x y z (fractional)
Sr 0.500 0.500 0.500
Ga 0.275 0.275 0.174
Ga 0.725 0.725 0.826
In 0.000 0.000 0.000

(20)
Density functional theory data (PBE) for crystalline Sr4InGa at its relaxed geometry.

Properties
Magnetic moment in μB per cell: 0.0
Total DFT energy (no corrections) in eV per atom: -2.349

Cell: 7.287 9.073 9.265 Å, 114.25 107.16 101.57°
Element x y z (fractional)
Sr 0.015 0.236 0.882
Sr 0.789 0.707 0.653
Sr 0.367 0.645 0.882
Sr 0.363 0.946 0.653
Sr 0.637 0.054 0.347
Sr 0.633 0.355 0.118
Sr 0.211 0.293 0.347
Sr 0.985 0.764 0.118
In 0.387 0.637 0.274
In 0.613 0.363 0.726
Ga 0.245 0.995 0.989
Ga 0.755 0.005 0.011